Compound: Cs2TlCuF6
Source: OQMD via LeMat-Bulk
Functional: PBE
Structure: relaxed

final energy: -39.9 eV per formula unit
offset from the most stable computed form: 12 meV/atom
V: 163.1 Å³/cell

abc: 6.136 6.136 6.136
angles: 59.91 59.91 59.91
Element x y z (fractional)
Cs 0.250 0.250 0.250
Cs 0.750 0.750 0.750
Tl 0.000 0.000 0.000
Cu 0.500 0.500 0.500
F 0.264 0.735 0.266
F 0.265 0.734 0.736
F 0.266 0.264 0.735
F 0.734 0.736 0.265
F 0.735 0.266 0.264
F 0.736 0.265 0.734